# 1
Computed, not measured: a relaxed Cs3Hg13Pd2 crystal at the GGA-PBE level of DFT.

Values from the calculation:
The total energy is -1.114 eV/atom.

a = 6.7180 Å, b = 6.7180 Å, c = 14.4722 Å
α = 90.00°, β = 90.00°, γ = 120.00°
Element x y z (fractional)
Cs 0.0000 0.0000 0.0000
Cs 0.0000 0.0000 0.3292
Cs 0.0000 0.0000 0.6708
Hg 0.0000 0.5000 0.1407
Hg 0.0000 0.5000 0.5000
Hg 0.0000 0.5000 0.8593
Hg 0.3333 0.6667 0.3152
Hg 0.3333 0.6667 0.6848
Hg 0.5000 0.0000 0.1407
Hg 0.5000 0.0000 0.5000
Hg 0.5000 0.0000 0.8593
Hg 0.5000 0.5000 0.1407
Hg 0.5000 0.5000 0.5000
Hg 0.5000 0.5000 0.8593
Hg 0.6667 0.3333 0.3152
Hg 0.6667 0.3333 0.6848
Pd 0.3333 0.6667 0.0000
Pd 0.6667 0.3333 0.0000

***

# 2
Computed, not measured: a relaxed Cs3Hg12Pd5 crystal at the GGA-PBE level of DFT.

Values from the calculation:
The total energy is -1.663 eV/atom.

a = 15.7100 Å, b = 15.7100 Å, c = 15.7100 Å
α = 109.47°, β = 109.47°, γ = 109.47°
Element x y z (fractional)
Cs 0.1250 0.2500 0.3750
Cs 0.1250 0.3750 0.7500
Cs 0.2500 0.3750 0.1250
Cs 0.2500 0.8750 0.6250
Cs 0.3750 0.1250 0.2500
Cs 0.3750 0.7500 0.1250
Cs 0.6250 0.2500 0.8750
Cs 0.6250 0.8750 0.7500
Cs 0.7500 0.1250 0.3750
Cs 0.7500 0.6250 0.8750
Cs 0.8750 0.6250 0.2500
Cs 0.8750 0.7500 0.6250
Hg 0.0286 0.6974 0.0700
Hg 0.0286 0.8312 0.9586
Hg 0.0414 0.5700 0.8726
Hg 0.0414 0.9714 0.1688
Hg 0.0700 0.0286 0.6974
Hg 0.0700 0.5414 0.3726
Hg 0.1274 0.6688 0.6974
Hg 0.1274 0.9586 0.4300
Hg 0.1688 0.0414 0.9714
Hg 0.1688 0.6274 0.1974
Hg 0.1974 0.1688 0.6274
Hg 0.1974 0.5286 0.5700
Hg 0.3026 0.8726 0.3312
Hg 0.3026 0.9300 0.9714
Hg 0.3312 0.3026 0.8726
Hg 0.3312 0.5286 0.4586
Hg 0.3726 0.0700 0.5414
Hg 0.3726 0.8026 0.8312
Hg 0.4300 0.1274 0.9586
Hg 0.4300 0.8026 0.4714
Hg 0.4586 0.3312 0.5286
Hg 0.4586 0.6274 0.9300
Hg 0.4714 0.4300 0.8026
Hg 0.4714 0.5414 0.6688
Hg 0.5286 0.4586 0.3312
Hg 0.5286 0.5700 0.1974
Hg 0.5414 0.3726 0.0700
Hg 0.5414 0.6688 0.4714
Hg 0.5700 0.1974 0.5286
Hg 0.5700 0.8726 0.0414
Hg 0.6274 0.1974 0.1688
Hg 0.6274 0.9300 0.4586
Hg 0.6688 0.4714 0.5414
Hg 0.6688 0.6974 0.1274
Hg 0.6974 0.0700 0.0286
Hg 0.6974 0.1274 0.6688
Hg 0.8026 0.4714 0.4300
Hg 0.8026 0.8312 0.3726
Hg 0.8312 0.3726 0.8026
Hg 0.8312 0.9586 0.0286
Hg 0.8726 0.0414 0.5700
Hg 0.8726 0.3312 0.3026
Hg 0.9300 0.4586 0.6274
Hg 0.9300 0.9714 0.3026
Hg 0.9586 0.0286 0.8312
Hg 0.9586 0.4300 0.1274
Hg 0.9714 0.1688 0.0414
Hg 0.9714 0.3026 0.9300
Pd 0.0000 0.0000 0.0000
Pd 0.0000 0.0000 0.5000
Pd 0.0000 0.5000 0.0000
Pd 0.0000 0.5000 0.5000
Pd 0.1250 0.7500 0.8750
Pd 0.1250 0.8750 0.2500
Pd 0.2500 0.1250 0.8750
Pd 0.2500 0.6250 0.3750
Pd 0.3750 0.2500 0.6250
Pd 0.3750 0.6250 0.7500
Pd 0.5000 0.0000 0.0000
Pd 0.5000 0.0000 0.5000
Pd 0.5000 0.5000 0.0000
Pd 0.5000 0.5000 0.5000
Pd 0.6250 0.3750 0.2500
Pd 0.6250 0.7500 0.3750
Pd 0.7500 0.3750 0.6250
Pd 0.7500 0.8750 0.1250
Pd 0.8750 0.1250 0.7500
Pd 0.8750 0.2500 0.1250

***

# 3
Computed, not measured: a relaxed Cs2Hg2Pd crystal at the GGA-PBE level of DFT.

Values from the calculation:
For the energy relative to the lowest polymorph listed for this composition, the calculation gives 0.000 eV per atom.

a = 10.0929 Å, b = 8.5558 Å, c = 10.4078 Å
α = 90.00°, β = 90.00°, γ = 90.00°
Element x y z (fractional)
Cs 0.1176 0.2500 0.0000
Cs 0.1176 0.2500 0.5000
Cs 0.3556 0.7500 0.0000
Cs 0.3556 0.7500 0.5000
Cs 0.6444 0.2500 0.0000
Cs 0.6444 0.2500 0.5000
Cs 0.8824 0.7500 0.0000
Cs 0.8824 0.7500 0.5000
Hg 0.0963 0.5855 0.2500
Hg 0.0963 0.9145 0.7500
Hg 0.3581 0.0860 0.2500
Hg 0.3581 0.4140 0.7500
Hg 0.6419 0.5860 0.2500
Hg 0.6419 0.9140 0.7500
Hg 0.9037 0.0855 0.2500
Hg 0.9037 0.4145 0.7500
Pd 0.1302 0.5949 0.7500
Pd 0.1302 0.9051 0.2500
Pd 0.8698 0.0949 0.7500
Pd 0.8698 0.4051 0.2500

***

# 4
Computed, not measured: a relaxed CsHg2Pd crystal at the GGA-PBE level of DFT.

Values from the calculation:
For the energy relative to the lowest polymorph listed for this composition, the calculation gives 0.353 eV per atom.

a = 5.6075 Å, b = 5.6075 Å, c = 5.6075 Å
α = 60.00°, β = 60.00°, γ = 60.00°
Element x y z (fractional)
Cs 0.0000 0.0000 0.0000
Hg 0.2500 0.2500 0.2500
Hg 0.7500 0.7500 0.7500
Pd 0.5000 0.5000 0.5000

***

# 5
Computed, not measured: a relaxed CsHg9Pd2 crystal at the GGA-PBE level of DFT.

Values from the calculation:
The total energy is -1.283 eV/atom.

a = 9.4129 Å, b = 9.4129 Å, c = 4.3146 Å
α = 90.00°, β = 90.00°, γ = 120.00°
Element x y z (fractional)
Cs 0.0000 0.0000 0.0000
Hg 0.0000 0.5000 0.0000
Hg 0.2048 0.4095 0.5000
Hg 0.2048 0.7952 0.5000
Hg 0.4095 0.2048 0.5000
Hg 0.5000 0.0000 0.0000
Hg 0.5000 0.5000 0.0000
Hg 0.5905 0.7952 0.5000
Hg 0.7952 0.2048 0.5000
Hg 0.7952 0.5905 0.5000
Pd 0.3333 0.6667 0.0000
Pd 0.6667 0.3333 0.0000

***

# 6
Computed, not measured: a relaxed Cs2Hg4Pd crystal at the GGA-PBE level of DFT.

Values from the calculation:
For the energy relative to the lowest polymorph listed for this composition, the calculation gives 0.004 eV per atom.

a = 8.9391 Å, b = 8.9391 Å, c = 5.4527 Å
α = 90.00°, β = 90.00°, γ = 143.95°
Element x y z (fractional)
Cs 0.1502 0.8498 0.0000
Cs 0.8498 0.1502 0.0000
Hg 0.0000 0.0000 0.5000
Hg 0.3343 0.6657 0.5000
Hg 0.5000 0.5000 0.0000
Hg 0.6657 0.3343 0.5000
Pd 0.5000 0.5000 0.5000

***

- Number 6 is which compound?
  Cs2Hg4Pd

***

- Number 5 is which compound?
  CsHg9Pd2